No. 1
# PBE CrFeAs2Br, relaxed
data_CrFeAs2Br
_chemical_formula_sum 'Cr1 Fe1 As2 Br1'
_space_group_name_H-M_alt 'P 1'
_space_group_IT_number 1
_space_group_name_Hall 'P 1'
_cell_length_a 4.6298
_cell_length_b 4.6298
_cell_length_c 5.2540
_cell_angle_alpha 90.00
_cell_angle_beta 90.00
_cell_angle_gamma 90.00
loop_
_atom_site_label
_atom_site_type_symbol
_atom_site_fract_x
_atom_site_fract_y
_atom_site_fract_z
Cr1 Cr 0.0000 0.0000 0.0000
Fe1 Fe 0.5000 0.5000 0.5000
As1 As 0.0000 0.5000 0.0000
As2 As 0.5000 0.0000 0.0000
Br1 Br 0.0000 0.0000 0.5000
# **Energy above the lowest structure with this stoichiometry**: 0.00 eV per formula unit
# **Formation energy (no corrections)**: 0.73 eV per atom
# **Mass density**: 4.98 g/cm³
# **Magnetic moment**: 5.17 μB per formula unit

=====

No. 2
# PBE CrGeAs2Br, relaxed
data_CrGeAs2Br
_chemical_formula_sum 'Cr1 Ge1 As2 Br1'
_space_group_name_H-M_alt 'P 1'
_space_group_IT_number 1
_space_group_name_Hall 'P 1'
_cell_length_a 4.9402
_cell_length_b 4.9402
_cell_length_c 5.0642
_cell_angle_alpha 90.00
_cell_angle_beta 90.00
_cell_angle_gamma 90.00
loop_
_atom_site_label
_atom_site_type_symbol
_atom_site_fract_x
_atom_site_fract_y
_atom_site_fract_z
Cr1 Cr 0.0000 0.0000 0.0000
Ge1 Ge 0.5000 0.5000 0.5000
As1 As 0.0000 0.5000 0.5000
As2 As 0.5000 0.0000 0.5000
Br1 Br 0.5000 0.5000 0.0000
# **Energy above the lowest structure with this stoichiometry**: 4.21 eV per formula unit
# **Formation energy (no corrections)**: 1.26 eV per atom
# **Mass density**: 4.76 g/cm³
# **Magnetic moment**: 0.77 μB per formula unit

=====

No. 3
# PBE CrGeAs2Br, relaxed
data_CrGeAs2Br
_chemical_formula_sum 'Cr1 Ge1 As2 Br1'
_space_group_name_H-M_alt 'P 1'
_space_group_IT_number 1
_space_group_name_Hall 'P 1'
_cell_length_a 4.6659
_cell_length_b 4.6659
_cell_length_c 5.3294
_cell_angle_alpha 90.00
_cell_angle_beta 90.00
_cell_angle_gamma 90.00
loop_
_atom_site_label
_atom_site_type_symbol
_atom_site_fract_x
_atom_site_fract_y
_atom_site_fract_z
Cr1 Cr 0.0000 0.0000 0.0000
Ge1 Ge 0.5000 0.5000 0.5000
As1 As 0.0000 0.5000 0.0000
As2 As 0.5000 0.0000 0.0000
Br1 Br 0.0000 0.0000 0.5000
# **Energy above the lowest structure with this stoichiometry**: 0.00 eV per formula unit
# **Formation energy (no corrections)**: 0.42 eV per atom
# **Mass density**: 5.07 g/cm³
# **Magnetic moment**: 1.95 μB per formula unit

=====

No. 4
# PBE CrAsHBr2, relaxed
data_CrAsHBr2
_chemical_formula_sum 'Cr1 As1 H1 Br2'
_space_group_name_H-M_alt 'P 1'
_space_group_IT_number 1
_space_group_name_Hall 'P 1'
_cell_length_a 5.1341
_cell_length_b 5.1341
_cell_length_c 4.8160
_cell_angle_alpha 90.00
_cell_angle_beta 90.00
_cell_angle_gamma 90.00
loop_
_atom_site_label
_atom_site_type_symbol
_atom_site_fract_x
_atom_site_fract_y
_atom_site_fract_z
Cr1 Cr 0.0000 0.0000 0.0000
As1 As 0.0000 0.0000 0.5000
H1 H 0.5000 0.5000 0.5000
Br1 Br 0.0000 0.5000 0.0000
Br2 Br 0.5000 0.0000 0.0000
# **Energy above the lowest structure with this stoichiometry**: 0.00 eV per formula unit
# **Mass density**: 3.76 g/cm³
# **Magnetic moment**: 2.82 μB per formula unit

=====

No. 5
# PBE CrAsHBr2, relaxed
data_CrAsHBr2
_chemical_formula_sum 'Cr1 As1 H1 Br2'
_space_group_name_H-M_alt 'P 1'
_space_group_IT_number 1
_space_group_name_Hall 'P 1'
_cell_length_a 5.0136
_cell_length_b 5.0136
_cell_length_c 3.4902
_cell_angle_alpha 90.00
_cell_angle_beta 90.00
_cell_angle_gamma 90.00
loop_
_atom_site_label
_atom_site_type_symbol
_atom_site_fract_x
_atom_site_fract_y
_atom_site_fract_z
Cr1 Cr 0.0000 0.0000 0.0000
As1 As 0.5000 0.5000 0.0000
H1 H 0.5000 0.5000 0.5000
Br1 Br 0.0000 0.5000 0.5000
Br2 Br 0.5000 0.0000 0.5000
# **Energy above the lowest structure with this stoichiometry**: 2.58 eV per formula unit
# **Mass density**: 5.45 g/cm³
# **Magnetic moment**: 0.09 μB per formula unit

=====

No. 6
# PBE HfCrAsBr2, relaxed
data_HfCrAsBr2
_chemical_formula_sum 'Hf1 Cr1 As1 Br2'
_space_group_name_H-M_alt 'P 1'
_space_group_IT_number 1
_space_group_name_Hall 'P 1'
_cell_length_a 5.2120
_cell_length_b 5.2120
_cell_length_c 5.2976
_cell_angle_alpha 90.00
_cell_angle_beta 90.00
_cell_angle_gamma 90.00
loop_
_atom_site_label
_atom_site_type_symbol
_atom_site_fract_x
_atom_site_fract_y
_atom_site_fract_z
Hf1 Hf 0.0000 0.0000 0.0000
Cr1 Cr 0.5000 0.5000 0.5000
As1 As 0.0000 0.0000 0.5000
Br1 Br 0.0000 0.5000 0.0000
Br2 Br 0.5000 0.0000 0.0000
# **Energy above the lowest structure with this stoichiometry**: 0.00 eV per formula unit
# **Formation energy (no corrections)**: 0.04 eV per atom
# **Mass density**: 5.37 g/cm³
# **Magnetic moment**: 4.82 μB per formula unit

=====

No. 7
# PBE HfCrAsBr2, relaxed
data_HfCrAsBr2
_chemical_formula_sum 'Hf1 Cr1 As1 Br2'
_space_group_name_H-M_alt 'P 1'
_space_group_IT_number 1
_space_group_name_Hall 'P 1'
_cell_length_a 4.8264
_cell_length_b 4.8264
_cell_length_c 5.2013
_cell_angle_alpha 90.00
_cell_angle_beta 90.00
_cell_angle_gamma 90.00
loop_
_atom_site_label
_atom_site_type_symbol
_atom_site_fract_x
_atom_site_fract_y
_atom_site_fract_z
Hf1 Hf 0.0000 0.0000 0.0000
Cr1 Cr 0.5000 0.5000 0.5000
As1 As 0.5000 0.5000 0.0000
Br1 Br 0.0000 0.5000 0.5000
Br2 Br 0.5000 0.0000 0.5000
# **Energy above the lowest structure with this stoichiometry**: 1.77 eV per formula unit
# **Formation energy (no corrections)**: 0.39 eV per atom
# **Mass density**: 6.38 g/cm³
# **Magnetic moment**: 4.77 μB per formula unit

=====

No. 8
# PBE HfCrAs2Br, relaxed
data_HfCrAs2Br
_chemical_formula_sum 'Hf1 Cr1 As2 Br1'
_space_group_name_H-M_alt 'P 1'
_space_group_IT_number 1
_space_group_name_Hall 'P 1'
_cell_length_a 5.1795
_cell_length_b 5.1795
_cell_length_c 5.1170
_cell_angle_alpha 90.00
_cell_angle_beta 90.00
_cell_angle_gamma 90.00
loop_
_atom_site_label
_atom_site_type_symbol
_atom_site_fract_x
_atom_site_fract_y
_atom_site_fract_z
Hf1 Hf 0.0000 0.0000 0.0000
Cr1 Cr 0.5000 0.5000 0.5000
As1 As 0.0000 0.5000 0.0000
As2 As 0.5000 0.0000 0.0000
Br1 Br 0.0000 0.0000 0.5000
# **Energy above the lowest structure with this stoichiometry**: 1.92 eV per formula unit
# **Formation energy (no corrections)**: 0.81 eV per atom
# **Mass density**: 5.57 g/cm³
# **Magnetic moment**: 0.37 μB per formula unit

=====

No. 9
# PBE HfCrAs2Br, relaxed
data_HfCrAs2Br
_chemical_formula_sum 'Hf1 Cr1 As2 Br1'
_space_group_name_H-M_alt 'P 1'
_space_group_IT_number 1
_space_group_name_Hall 'P 1'
_cell_length_a 4.7790
_cell_length_b 4.7790
_cell_length_c 4.7992
_cell_angle_alpha 90.00
_cell_angle_beta 90.00
_cell_angle_gamma 90.00
loop_
_atom_site_label
_atom_site_type_symbol
_atom_site_fract_x
_atom_site_fract_y
_atom_site_fract_z
Hf1 Hf 0.0000 0.0000 0.0000
Cr1 Cr 0.5000 0.5000 0.5000
As1 As 0.0000 0.5000 0.5000
As2 As 0.5000 0.0000 0.5000
Br1 Br 0.5000 0.5000 0.0000
# **Energy above the lowest structure with this stoichiometry**: 0.00 eV per formula unit
# **Formation energy (no corrections)**: 0.43 eV per atom
# **Mass density**: 6.97 g/cm³
# **Magnetic moment**: 3.28 μB per formula unit

=====

No. 10
# PBE CrHgAs2Br, relaxed
data_CrHgAs2Br
_chemical_formula_sum 'Cr1 Hg1 As2 Br1'
_space_group_name_H-M_alt 'P 1'
_space_group_IT_number 1
_space_group_name_Hall 'P 1'
_cell_length_a 4.6726
_cell_length_b 4.6726
_cell_length_c 5.4430
_cell_angle_alpha 90.00
_cell_angle_beta 90.00
_cell_angle_gamma 90.00
loop_
_atom_site_label
_atom_site_type_symbol
_atom_site_fract_x
_atom_site_fract_y
_atom_site_fract_z
Cr1 Cr 0.0000 0.0000 0.0000
Hg1 Hg 0.5000 0.5000 0.5000
As1 As 0.0000 0.5000 0.0000
As2 As 0.5000 0.0000 0.0000
Br1 Br 0.0000 0.0000 0.5000
# **Energy above the lowest structure with this stoichiometry**: 0.00 eV per formula unit
# **Formation energy (no corrections)**: 0.23 eV per atom
# **Mass density**: 6.74 g/cm³
# **Magnetic moment**: 0.92 μB per formula unit

=====

No. 11
# PBE CrAsIBr2, relaxed
data_CrAsIBr2
_chemical_formula_sum 'Cr1 As1 I1 Br2'
_space_group_name_H-M_alt 'P 1'
_space_group_IT_number 1
_space_group_name_Hall 'P 1'
_cell_length_a 4.8357
_cell_length_b 4.8357
_cell_length_c 5.1644
_cell_angle_alpha 90.00
_cell_angle_beta 90.00
_cell_angle_gamma 90.00
loop_
_atom_site_label
_atom_site_type_symbol
_atom_site_fract_x
_atom_site_fract_y
_atom_site_fract_z
Cr1 Cr 0.0000 0.0000 0.0000
As1 As 0.0000 0.0000 0.5000
I1 I 0.5000 0.5000 0.5000
Br1 Br 0.0000 0.5000 0.0000
Br2 Br 0.5000 0.0000 0.0000
# **Energy above the lowest structure with this stoichiometry**: 0.00 eV per formula unit
# **Formation energy (no corrections)**: 0.26 eV per atom
# **Mass density**: 5.69 g/cm³
# **Magnetic moment**: 0.02 μB per formula unit

=====

No. 12
# PBE CrInAsBr2, relaxed
data_CrInAsBr2
_chemical_formula_sum 'Cr1 In1 As1 Br2'
_space_group_name_H-M_alt 'P 1'
_space_group_IT_number 1
_space_group_name_Hall 'P 1'
_cell_length_a 5.3262
_cell_length_b 5.3262
_cell_length_c 4.8206
_cell_angle_alpha 90.00
_cell_angle_beta 90.00
_cell_angle_gamma 90.00
loop_
_atom_site_label
_atom_site_type_symbol
_atom_site_fract_x
_atom_site_fract_y
_atom_site_fract_z
Cr1 Cr 0.0000 0.0000 0.0000
In1 In 0.5000 0.5000 0.5000
As1 As 0.0000 0.0000 0.5000
Br1 Br 0.0000 0.5000 0.0000
Br2 Br 0.5000 0.0000 0.0000
# **Energy above the lowest structure with this stoichiometry**: 0.00 eV per formula unit
# **Formation energy (no corrections)**: -0.15 eV per atom
# **Mass density**: 4.88 g/cm³
# **Magnetic moment**: 2.03 μB per formula unit